Here is a crystal of ZrTaZn2 relaxed with PBEsol from Alexandria via LeMat-Bulk. Energies are from SCAN.

## Properties
The total energy is -31.089 eV per atom. Its space group is I-4m2, No. 119.

Unit cell a=5.1957 b=5.1957 c=5.1957 alpha=135.92 beta=135.92 gamma=64.10
Element x y z (fractional)
Zr (0.0000, 0.0000, 0.0000)
Ta (0.7500, 0.2500, 0.5000)
Zn (0.2500, 0.7500, 0.5000)
Zn (0.5000, 0.5000, 0.0000)

Here is a crystal of Zr2TaZn relaxed with PBEsol from Alexandria via LeMat-Bulk. Energies are from SCAN.

## Properties
The total energy is -35.488 eV per atom. Its space group is Pmmm, No. 47.

Unit cell a=3.0929 b=3.6948 c=6.5778 alpha=90.00 beta=90.00 gamma=90.00
Element x y z (fractional)
Zr (0.0000, 0.0000, 0.2436)
Zr (0.0000, 0.0000, 0.7564)
Ta (0.5000, 0.5000, 0.5000)
Zn (0.5000, 0.5000, 0.0000)

Here is a crystal of Zr2TaZn relaxed with PBEsol from Alexandria via LeMat-Bulk. Energies are from SCAN.

## Properties
The total energy is -35.247 eV per atom. Its space group is P2/m, No. 10.

Unit cell a=5.1924 b=2.9513 c=5.2525 alpha=90.00 beta=110.55 gamma=90.00
Element x y z (fractional)
Zr (0.0000, 0.0000, 0.0000)
Zr (0.0000, 0.5000, 0.5000)
Ta (0.5000, 0.0000, 0.5000)
Zn (0.5000, 0.5000, 0.0000)

Here is a crystal of ZrTaZn2 relaxed with PBEsol from Alexandria via LeMat-Bulk. Energies are from SCAN.

## Properties
The total energy is -30.999 eV per atom. Its space group is C2/m, No. 12.

Unit cell a=5.0392 b=5.0392 c=5.0129 alpha=99.73 beta=99.73 gamma=33.27
Element x y z (fractional)
Zr (0.0000, 0.0000, 0.0000)
Ta (0.5000, 0.5000, 0.5000)
Zn (0.2459, 0.2459, 0.7326)
Zn (0.7541, 0.7541, 0.2674)

ΔH_f (0 K) values, unit meV/atom, following the record order: -11, -114, 127, 79.
M_tot values, unit μB per cell, following the record order: 0.00, 0.00, 0.00, 0.00.
DOS at the Fermi energy values, unit states/eV/f.u., following the record order: 2.7, 3.4, 4.4, 2.6.